# GePd5Pt4 PBE-GGA optimized geometry
data_GePd5Pt4
_cell_length_a 13.862
_cell_length_b 4.003
_cell_length_c 6.781
_cell_angle_alpha 90.00
_cell_angle_beta 118.49
_cell_angle_gamma 90.00
_space_group_name_H-M_alt 'C 1 2/m 1'
_space_group_IT_number 12
loop_
_space_group_symop_operation_xyz
'x,y,z'
'-x,-y,-z'
'-x,y,-z'
'x,-y,z'
'x+1/2,y+1/2,z'
'-x+1/2,-y+1/2,-z'
'-x+1/2,y+1/2,-z'
'x+1/2,-y+1/2,z'
loop_
_atom_site_label
_atom_site_type_symbol
_atom_site_fract_x
_atom_site_fract_y
_atom_site_fract_z
Ge1 Ge 0.000 0.000 0.000
Pd1 Pd 0.000 0.000 0.500
Pd2 Pd 0.154 0.500 0.686
Pd3 Pd 0.198 0.500 0.119
Pt1 Pt 0.016 0.500 0.230
Pt2 Pt 0.176 0.000 0.402
# total magnetic moment = 0.00 μB/f.u.
# calculated volume = 330.7 Å³ per cell
# formation enthalpy at 0 K = -2.53 kJ per mole of atoms